Computed, not measured: an optimized crystal structure of Mn2HSeO at the PBE+U level of DFT.

Total magnetization = 9.1 μB/f.u.
Relative energy among the computed polymorphs = 0.0574 eV/atom
SG = P1 (1)

a = 3.6025 Å, b = 3.8037 Å, c = 6.4812 Å
α = 90.27°, β = 74.02°, γ = 90.00°
Last column: magnetic moment on the atom in μB.
Fractional positions:
Mn  0.1852  0.2556  0.2796  4.44
Mn  0.5313  0.7460  0.5902  4.52
H  0.6561  0.2625  0.3386  -0.05
Se  0.3983  0.2491  0.8654  -0.23
O  0.1163  0.7579  0.4186  0.04